First-principles (PBE+U) data for a relaxed structure of Ta4FeCoO12, as listed in Alexandria via LeMat-Bulk.

Unit cell a=4.8140 b=4.8140 c=9.2369 alpha=90.00 beta=90.00 gamma=90.15
Last column: nearest neighbours and their distance in Å.
Element x y z (fractional)
Ta: 0.5000 0.5000 0.1685  6 O 1.98-2.02
Ta: 0.5000 0.5000 0.8315  6 O 1.98-2.02
Ta: 0.0000 0.0000 0.6703  6 O 1.98-2.03
Ta: 0.0000 0.0000 0.3297  6 O 1.98-2.03
Fe: 0.5000 0.5000 0.5000  6 O 2.12-2.18
Co: 0.0000 0.0000 0.0000  6 O 2.13-2.15
O: 0.1877 0.1877 0.5000  2 Ta 2.03, 1 Fe 2.12
O: 0.8123 0.8123 0.5000  2 Ta 2.03, 1 Fe 2.12
O: 0.6882 0.3118 0.0000  2 Ta 2.02, 1 Co 2.13
O: 0.3118 0.6882 0.0000  2 Ta 2.02, 1 Co 2.13
O: 0.2048 0.2048 0.1768  2 Ta 1.98-2.01, 1 Co 2.15
O: 0.7952 0.7952 0.1768  2 Ta 1.98-2.01, 1 Co 2.15
O: 0.7952 0.7952 0.8232  2 Ta 1.98-2.01, 1 Co 2.15
O: 0.2048 0.2048 0.8232  2 Ta 1.98-2.01, 1 Co 2.15
O: 0.7068 0.2932 0.6804  2 Ta 1.98-2.00, 1 Fe 2.18
O: 0.2932 0.7068 0.6804  2 Ta 1.98-2.00, 1 Fe 2.18
O: 0.2932 0.7068 0.3196  2 Ta 1.98-2.00, 1 Fe 2.18
O: 0.7068 0.2932 0.3196  2 Ta 1.98-2.00, 1 Fe 2.18

- Spin magnetization: 7.00 Bohr magnetons per cell
- D(E_F): 0.000 states/eV/f.u.
- Crystal system: orthorhombic
- Total DFT energy (no corrections): -9.056 eV/atom